The following is a DFT calculation (PBE) of crystalline UInCl6 at its relaxed geometry.

a = 7.0815 Å, b = 7.0868 Å, c = 7.7137 Å
α = 90.01°, β = 117.31°, γ = 119.96°
Sites, in units of the cell vectors:
U (0.0000, 0.0000, 0.0000)
In (0.0000, 0.5000, 0.5000)
Cl (0.1551, 0.9500, 0.7757)
Cl (0.1744, 0.7951, 0.2243)
Cl (0.4289, 0.3789, 0.2241)
Cl (0.5711, 0.6211, 0.7759)
Cl (0.8256, 0.2049, 0.7757)
Cl (0.8449, 0.0500, 0.2243)

M_tot: 1.0 μB/f.u.
ΔE_f (raw): -1138 kJ/mol of formula units

The following is a DFT calculation (PBE) of crystalline BAs2S4 at its relaxed geometry.

a = 5.9355 Å, b = 5.9355 Å, c = 5.9355 Å
α = 116.55°, β = 116.55°, γ = 96.08°
Sites, in units of the cell vectors:
B (0.0000, 0.0000, 0.0000)
As (0.2500, 0.7500, 0.5000)
As (0.7500, 0.2500, 0.5000)
S (0.0783, 0.6911, 0.0000)
S (0.3089, 0.3089, 0.3872)
S (0.6911, 0.0783, 0.0000)
S (0.9217, 0.9217, 0.6128)

M_tot: 0.0 μB/f.u.
ΔE_f (raw): 18 kJ/mol of formula units

The following is a DFT calculation (PBE) of crystalline YF at its relaxed geometry.

a = 6.6130 Å, b = 6.6130 Å, c = 3.7968 Å
α = 90.00°, β = 90.00°, γ = 90.00°
Sites, in units of the cell vectors:
Y (0.2083, 0.2083, 0.0000)
Y (0.2917, 0.7083, 0.5000)
Y (0.7083, 0.2917, 0.5000)
Y (0.7917, 0.7917, 0.0000)
F (0.1329, 0.8671, 0.0000)
F (0.3671, 0.3671, 0.5000)
F (0.6329, 0.6329, 0.5000)
F (0.8671, 0.1329, 0.0000)

energy above the most stable polymorph in this dataset: 240 meV/atom
M_tot: 0.0 μB/f.u.
ΔE_f (raw): -454 kJ/mol of formula units

The following is a DFT calculation (PBE) of crystalline LaPmCF at its relaxed geometry.

a = 5.2908 Å, b = 4.3791 Å, c = 4.3791 Å
α = 59.66°, β = 90.00°, γ = 90.00°
Sites, in units of the cell vectors:
La (0.0000, 0.0000, 0.0000)
Pm (0.5000, 0.6685, 0.6685)
C (0.5000, 0.0010, 0.0010)
F (0.0000, 0.6682, 0.6682)

M_tot: 0.7 μB/f.u.
ΔE_f (raw): -469 kJ/mol of formula units

The following is a DFT calculation (PBE) of crystalline Mg14CrCd at its relaxed geometry.

a = 6.2780 Å, b = 6.2780 Å, c = 10.3306 Å
α = 90.00°, β = 90.00°, γ = 120.00°
Sites, in units of the cell vectors:
Mg (0.0000, 0.0000, 0.2485)
Mg (0.0000, 0.0000, 0.7515)
Mg (0.0050, 0.5025, 0.2449)
Mg (0.0050, 0.5025, 0.7551)
Mg (0.3329, 0.1665, 0.0000)
Mg (0.3328, 0.1664, 0.5000)
Mg (0.4975, 0.5025, 0.2449)
Mg (0.4975, 0.5025, 0.7551)
Mg (0.4975, 0.9950, 0.2449)
Mg (0.4975, 0.9950, 0.7551)
Mg (0.8335, 0.1665, 0.0000)
Mg (0.8336, 0.1664, 0.5000)
Mg (0.8335, 0.6671, 0.0000)
Mg (0.8336, 0.6672, 0.5000)
Cr (0.3333, 0.6667, 0.0000)
Cd (0.3333, 0.6667, 0.5000)

energy above the most stable polymorph in this dataset: 0 meV/atom
energy of formation from the pure elements: 0.041 eV/atom
M_tot: 4.2 μB/f.u.